Density functional theory data (PBE) for Ca2TmMgS4 after structural relaxation.

abc: 3.8829 6.7671 6.7866
angles: 109.53 90.00 90.00
Element x y z (fractional)
S (0.0000, 0.7497, 0.2361)
S (0.0000, 0.2503, 0.7639)
Mg (0.0000, 0.0000, 0.0000)
Ca (0.0000, 0.5000, 0.5000)
Tm (0.5000, 0.5000, 0.0000)
S (0.5000, 0.7619, 0.7704)
S (0.5000, 0.2381, 0.2296)
Ca (0.5000, 0.0000, 0.5000)

Properties
Size of the total moment ... 0.00 μB per cell
Formation energy without anion corrections ... -1.876 eV/atom
VASP energy ... -41.59 eV per formula unit
Calculated volume ... 21.01 A^3/atom